## BaMgPb2 (PBE)

Data for crystalline BaMgPb2 at its relaxed geometry.

Summary:
electronic total energy	-3.00	eV/atom

Lattice parameters (Å, degrees): 7.2007 7.2007 7.2007 142.38 141.28 55.09
Positions (direct):
Ba1 0.0000 0.0000 0.0000
Mg1 0.2489 0.7489 0.5000
Pb1 0.6006 0.6006 0.0000
Pb2 0.7754 0.2754 0.5000